P.
{
  "formula": "Li2ZrRu",
  "functional": "PBE-GGA",
  "state": "optimized geometry",
  "cell": [[-0.922, 2.410, 0.720], [-1.387, 0.749, -4.280], [-4.702, -2.141, 1.149]],
  "species": ["Li", "Li", "Zr", "Ru"],
  "frac_coords": [[0.000, 0.000, 0.466], [0.000, 0.000, 0.034], [0.500, 0.500, 0.750], [0.500, 0.500, 0.250]]
}

Q.
{
  "formula": "Li2ZrRu",
  "functional": "PBE-GGA",
  "state": "optimized geometry",
  "cell": [[2.738, -0.033, 0.000], [-1.231, 2.445, 0.000], [0.000, 0.000, 10.135]],
  "species": ["Li", "Zr", "Ru", "Li"],
  "frac_coords": [[0.000, 0.000, 0.469], [0.500, 0.500, 0.750], [0.500, 0.500, 0.250], [0.000, 0.000, 0.031]]
}

R.
{
  "formula": "Li2ZrRu",
  "functional": "PBE-GGA",
  "state": "optimized geometry",
  "cell": [[-1.231, 2.757, -0.327], [-1.002, -1.265, 2.573], [6.807, 3.562, 4.402]],
  "species": ["Li", "Ru", "Zr", "Li"],
  "frac_coords": [[0.500, 0.500, 0.283], [0.000, 0.000, 0.502], [0.500, 0.500, 0.708], [0.000, 0.000, 0.007]]
}

S.
{
  "formula": "Li2ZrRu",
  "functional": "PBE-GGA",
  "state": "optimized geometry",
  "cell": [[-2.146, 2.960, -0.615], [-2.872, -1.754, 1.578], [1.263, 1.812, 4.313]],
  "species": ["Zr", "Li", "Ru", "Li"],
  "frac_coords": [[0.000, 0.500, 0.500], [0.500, 0.500, 0.000], [0.500, 0.000, 0.500], [0.000, 0.000, 0.000]]
}

S (11.3 kJ/mol of atoms below the next structure)

P.
{
  "formula": "Li2S",
  "functional": "PBE-GGA",
  "state": "optimized geometry",
  "cell": [[3.814, 0.000, 0.000], [0.000, 6.311, 0.000], [0.000, 0.000, 7.266]],
  "species": ["Li", "S", "Li", "Li", "S", "Li", "Li", "S", "S", "Li", "Li", "Li"],
  "frac_coords": [[0.750, 0.642, 0.572], [0.250, 0.245, 0.111], [0.750, 0.522, 0.166], [0.250, 0.858, 0.072], [0.750, 0.755, 0.889], [0.250, 0.978, 0.666], [0.750, 0.022, 0.334], [0.750, 0.255, 0.611], [0.250, 0.745, 0.389], [0.250, 0.358, 0.428], [0.750, 0.142, 0.928], [0.250, 0.478, 0.834]]
}

Q.
{
  "formula": "Li2S",
  "functional": "PBE-GGA",
  "state": "optimized geometry",
  "cell": [[4.046, 0.000, 0.000], [2.023, 3.504, 0.000], [2.023, 1.168, 3.303]],
  "species": ["Li", "S", "Li"],
  "frac_coords": [[0.250, 0.250, 0.250], [0.000, 0.000, 0.000], [0.750, 0.750, 0.750]]
}

R.
{
  "formula": "Li2S",
  "functional": "PBE-GGA",
  "state": "optimized geometry",
  "cell": [[-3.767, -1.116, 0.121], [2.801, -2.383, 1.388], [-0.669, 2.960, 6.432]],
  "species": ["Li", "Li", "S", "Li", "S", "Li"],
  "frac_coords": [[0.333, 0.667, 0.908], [0.667, 0.333, 0.408], [0.667, 0.333, 0.750], [0.667, 0.333, 0.092], [0.333, 0.667, 0.250], [0.333, 0.667, 0.592]]
}

S.
{
  "formula": "Li2S",
  "functional": "PBE-GGA",
  "state": "optimized geometry",
  "cell": [[3.997, -0.001, 0.001], [1.999, 3.462, 0.001], [21.993, 12.696, 36.888]],
  "species": ["S", "S", "Li", "Li", "Li", "S", "Li", "Li", "Li", "Li", "Li", "S", "S", "Li", "S", "Li", "Li", "Li", "Li", "S", "Li", "S", "Li", "S", "Li", "S", "S", "Li", "Li", "Li", "Li", "Li", "Li"],
  "frac_coords": [[0.995, 0.995, 0.547], [0.002, 0.002, 0.817], [0.538, 0.538, 0.217], [0.761, 0.761, 0.064], [0.759, 0.759, 0.156], [0.994, 0.994, 0.092], [0.739, 0.739, 0.253], [0.232, 0.232, 0.301], [0.244, 0.244, 0.570], [0.750, 0.750, 0.795], [0.251, 0.251, 0.840], [0.989, 0.989, 0.367], [0.987, 0.987, 0.185], [0.245, 0.245, 0.660], [0.993, 0.993, 0.457], [0.747, 0.747, 0.705], [0.739, 0.739, 0.344], [0.248, 0.248, 0.750], [0.746, 0.746, 0.615], [0.998, 0.998, 0.000], [0.247, 0.247, 0.932], [0.999, 0.999, 0.727], [0.241, 0.241, 0.480], [0.997, 0.997, 0.637], [0.535, 0.535, 0.127], [0.989, 0.989, 0.276], [0.005, 0.005, 0.907], [0.744, 0.744, 0.525], [0.539, 0.539, 0.034], [0.741, 0.741, 0.435], [0.752, 0.752, 0.885], [0.767, 0.767, 0.972], [0.238, 0.238, 0.390]]
}

Q (5.4 kJ/mol of atoms below the next structure)

P.
{
  "formula": "LiS4",
  "functional": "PBE-GGA",
  "state": "optimized geometry",
  "cell": [[4.450, 0.599, 0.624], [-1.768, 3.065, -0.508], [1.216, -0.083, 7.684]],
  "species": ["S", "Li", "S", "S", "S"],
  "frac_coords": [[0.584, 0.374, 0.161], [0.000, 0.000, 0.000], [0.416, 0.626, 0.839], [0.282, 0.441, 0.600], [0.718, 0.559, 0.400]]
}

Q.
{
  "formula": "LiS4",
  "functional": "PBE-GGA",
  "state": "optimized geometry",
  "cell": [[-0.146, 2.470, 3.630], [-3.294, -2.463, 1.543], [2.903, -2.671, 1.934]],
  "species": ["S", "S", "S", "Li", "S"],
  "frac_coords": [[0.500, 0.000, 0.500], [0.000, 0.500, 0.500], [0.000, 0.000, 0.000], [0.500, 0.500, 0.500], [0.500, 0.500, 0.000]]
}

P (112.1 kJ/mol of atoms below the next structure)

P.
{
  "formula": "Li8Sb2S",
  "functional": "PBE-GGA",
  "state": "optimized geometry",
  "cell": [[-1.841, 3.806, 6.581], [-3.757, -4.026, 5.556], [4.870, -2.192, 7.644]],
  "species": ["Li", "Sb", "Sb", "S", "Li", "Li", "S", "Li", "Li", "Li", "Li", "Li", "Li", "Li", "Li", "Sb", "Li", "Li", "Sb", "Li", "Li", "Li"],
  "frac_coords": [[0.029, 0.101, 0.577], [0.899, 0.741, 0.251], [0.101, 0.259, 0.749], [0.440, 0.560, 0.750], [0.398, 0.884, 0.747], [0.899, 0.971, 0.923], [0.560, 0.440, 0.250], [0.214, 0.420, 0.387], [0.602, 0.116, 0.253], [0.101, 0.029, 0.077], [0.487, 0.728, 0.446], [0.513, 0.272, 0.554], [0.272, 0.513, 0.054], [0.728, 0.487, 0.946], [0.420, 0.214, 0.887], [0.741, 0.899, 0.751], [0.116, 0.602, 0.753], [0.580, 0.786, 0.113], [0.259, 0.101, 0.249], [0.786, 0.580, 0.613], [0.971, 0.899, 0.423], [0.884, 0.398, 0.247]]
}

Q.
{
  "formula": "Li8Sb2S",
  "functional": "PBE-GGA",
  "state": "optimized geometry",
  "cell": [[-1.158, 3.757, 2.456], [-5.071, 0.511, -3.173], [-0.216, -6.212, 5.026]],
  "species": ["Li", "Li", "Li", "Li", "Li", "Li", "Sb", "Li", "S", "Li", "Sb"],
  "frac_coords": [[0.000, 0.755, 0.000], [0.364, 0.111, 0.728], [0.636, 0.889, 0.272], [0.000, 0.245, 0.000], [0.206, 0.206, 0.412], [0.636, 0.382, 0.272], [0.173, 0.673, 0.345], [0.794, 0.794, 0.588], [0.500, 0.000, 0.000], [0.364, 0.618, 0.728], [0.827, 0.327, 0.655]]
}

Q (2.6 kJ/mol of atoms below the next structure)

P.
{
  "formula": "Li5SbS4",
  "functional": "PBE-GGA",
  "state": "optimized geometry",
  "cell": [[7.864, -0.010, 0.003], [3.647, 6.967, -0.003], [-4.620, -5.358, 3.434]],
  "species": ["Li", "Sb", "S", "S", "Li", "S", "S", "Li", "Li", "Li"],
  "frac_coords": [[0.500, 0.500, 0.000], [0.000, 0.500, 0.500], [0.730, 0.000, 0.730], [0.211, 0.711, 0.500], [0.031, 0.822, 0.209], [0.789, 0.289, 0.500], [0.270, 0.000, 0.270], [0.613, 0.822, 0.791], [0.387, 0.178, 0.209], [0.969, 0.178, 0.791]]
}

Q.
{
  "formula": "Li5SbS4",
  "functional": "PBE-GGA",
  "state": "optimized geometry",
  "cell": [[-2.675, 0.344, 4.904], [-4.873, -5.552, -2.269], [5.691, -6.449, 3.557]],
  "species": ["Li", "S", "Li", "Sb", "S", "Li", "Li", "Li", "Li", "S", "S", "Li", "S", "Sb", "Li", "S", "Li", "S", "S", "Li"],
  "frac_coords": [[0.245, 0.227, 0.797], [0.465, 0.740, 0.500], [0.789, 0.500, 0.000], [0.831, 0.000, 0.000], [0.465, 0.260, 0.500], [0.245, 0.773, 0.203], [0.755, 0.727, 0.703], [0.755, 0.273, 0.703], [0.755, 0.273, 0.297], [0.966, 0.000, 0.715], [0.535, 0.240, 0.000], [0.211, 0.000, 0.500], [0.535, 0.760, 0.000], [0.169, 0.500, 0.500], [0.245, 0.227, 0.203], [0.034, 0.500, 0.785], [0.755, 0.727, 0.297], [0.034, 0.500, 0.215], [0.966, 0.000, 0.285], [0.245, 0.773, 0.797]]
}

P (3.3 kJ/mol of atoms below the next structure)

P.
{
  "formula": "Li5SbS4",
  "functional": "PBE-GGA",
  "state": "optimized geometry",
  "cell": [[7.306, 0.002, 0.000], [-3.368, 6.483, 0.000], [0.000, 0.000, 7.887]],
  "species": ["Li", "S", "S", "Li", "Li", "Li", "Li", "Li", "S", "S", "Li", "S", "S", "Sb", "S", "Li", "Li", "Li", "Sb", "S"],
  "frac_coords": [[0.248, 0.118, 0.808], [0.499, 0.982, 0.762], [0.982, 0.499, 0.262], [0.581, 0.843, 0.016], [0.118, 0.248, 0.308], [0.419, 0.157, 0.516], [0.157, 0.419, 0.016], [0.868, 0.132, 0.718], [0.501, 0.018, 0.262], [0.018, 0.501, 0.762], [0.882, 0.752, 0.808], [0.023, 0.977, 0.525], [0.520, 0.480, 0.710], [0.336, 0.664, 0.592], [0.977, 0.023, 0.025], [0.843, 0.581, 0.516], [0.132, 0.868, 0.218], [0.752, 0.882, 0.308], [0.664, 0.336, 0.092], [0.480, 0.520, 0.210]]
}

Q.
{
  "formula": "Li5SbS4",
  "functional": "PBE-GGA",
  "state": "optimized geometry",
  "cell": [[-2.043, -8.973, 2.617], [-0.535, -3.396, -12.059], [12.407, -2.759, 0.227]],
  "species": ["S", "Li", "Li", "Li", "Li", "Li", "Sb", "Li", "Li", "Sb", "Li", "S", "Sb", "S", "Li", "Sb", "S", "Li", "S", "Sb", "S", "Li", "Li", "S", "S", "Li", "Li", "Li", "S", "S", "Li", "Li", "S", "S", "Li", "Li", "S", "Li", "Li", "S", "S", "Li", "Sb", "S", "Li", "Li", "Li", "Li", "Sb", "S", "Li", "Li", "S", "Li", "S", "S", "Li", "S", "S", "Li", "S", "S", "Li", "S", "Li", "S", "S", "Li", "Li", "Li", "Sb", "S", "Li", "Li", "S", "Li", "Li", "S", "S", "S"],
  "frac_coords": [[0.705, 0.484, 0.987], [0.378, 0.395, 0.627], [0.656, 0.860, 0.096], [0.024, 0.177, 0.830], [0.378, 0.105, 0.127], [0.667, 0.379, 0.382], [0.459, 0.880, 0.624], [0.824, 0.600, 0.126], [0.476, 0.677, 0.830], [0.041, 0.120, 0.124], [0.333, 0.879, 0.118], [0.475, 0.473, 0.283], [0.959, 0.620, 0.376], [0.975, 0.473, 0.217], [0.122, 0.605, 0.127], [0.459, 0.620, 0.124], [0.975, 0.027, 0.717], [0.676, 0.100, 0.126], [0.295, 0.516, 0.013], [0.541, 0.120, 0.376], [0.528, 0.213, 0.015], [0.676, 0.400, 0.626], [0.524, 0.323, 0.170], [0.028, 0.287, 0.985], [0.028, 0.213, 0.485], [0.344, 0.140, 0.904], [0.656, 0.640, 0.596], [0.122, 0.895, 0.627], [0.205, 0.016, 0.013], [0.274, 0.776, 0.730], [0.176, 0.100, 0.374], [0.878, 0.395, 0.873], [0.795, 0.984, 0.987], [0.472, 0.713, 0.485], [0.976, 0.677, 0.670], [0.156, 0.640, 0.904], [0.525, 0.973, 0.217], [0.167, 0.379, 0.118], [0.344, 0.360, 0.404], [0.226, 0.276, 0.730], [0.295, 0.984, 0.513], [0.844, 0.140, 0.596], [0.041, 0.380, 0.624], [0.472, 0.787, 0.985], [0.324, 0.900, 0.874], [0.976, 0.823, 0.170], [0.476, 0.823, 0.330], [0.156, 0.860, 0.404], [0.541, 0.380, 0.876], [0.475, 0.027, 0.783], [0.833, 0.879, 0.382], [0.833, 0.621, 0.882], [0.972, 0.713, 0.015], [0.024, 0.323, 0.330], [0.205, 0.484, 0.513], [0.025, 0.973, 0.283], [0.622, 0.895, 0.873], [0.726, 0.224, 0.270], [0.274, 0.724, 0.230], [0.324, 0.600, 0.374], [0.525, 0.527, 0.717], [0.726, 0.276, 0.770], [0.824, 0.900, 0.626], [0.972, 0.787, 0.515], [0.176, 0.400, 0.874], [0.528, 0.287, 0.515], [0.774, 0.776, 0.770], [0.878, 0.105, 0.373], [0.524, 0.177, 0.670], [0.333, 0.621, 0.618], [0.959, 0.880, 0.876], [0.226, 0.224, 0.230], [0.167, 0.121, 0.618], [0.622, 0.605, 0.373], [0.795, 0.516, 0.487], [0.667, 0.121, 0.882], [0.844, 0.360, 0.096], [0.705, 0.016, 0.487], [0.025, 0.527, 0.783], [0.774, 0.724, 0.270]]
}

P (0.8 kJ/mol of atoms below the next structure)